Dy3Ho2Ga2 | GGA-PBE | optimized geometry

Calculated values
E   -4.47 eV per atom
Calculated formation energy   -0.33 eV/atom
Spin magnetization   0.00 μB/f.u.
SG   C2/m, No. 12

a = 6.760 Å, b = 6.760 Å, c = 8.773 Å
α = 113.47°, β = 113.47°, γ = 31.78°
Positions (direct):
Dy  0.000  0.000  0.000
Dy  0.113  0.113  0.438
Dy  0.887  0.887  0.562
Ho  0.355  0.355  0.191
Ho  0.645  0.645  0.809
Ga  0.315  0.315  0.783
Ga  0.685  0.685  0.217